An optimized crystal structure of K3Hg4Au4. Source: Alexandria via LeMat-Bulk, functional GGA-PBE.

Structure (CIF):
```
data_K3Hg4Au4
_chemical_formula_sum 'K3 Hg4 Au4'
_cell_length_a 4.585
_cell_length_b 4.783
_cell_length_c 15.257
_cell_angle_alpha 81.25
_cell_angle_beta 81.42
_cell_angle_gamma 89.99
_space_group_name_H-M_alt 'P -1'
_space_group_IT_number 2
_space_group_name_Hall '-P 1'
loop_
_atom_site_label
_atom_site_type_symbol
_atom_site_fract_x
_atom_site_fract_y
_atom_site_fract_z
_atom_site_occupancy
K1 K 0.000 0.000 0.000 1
K2 K 0.149 0.649 0.705 1
Hg1 Hg 0.250 0.250 0.500 1
Hg2 Hg 0.400 0.902 0.193 1
Au1 Au 0.311 0.807 0.381 1
Au2 Au 0.451 0.450 0.092 1
```

Formation enthalpy at 0 K = -23.8 kJ/mol of atoms
Energy = -1.848 eV/atom
Total magnetization = 0.00 μB per cell
Polymorph energy (0 for the lowest one) = 0.0000 eV/atom